A geometry-optimized Li2CdAg2Pd2 structure. Source: Alexandria, functional PBE.

Output
Final energy, eV per atom: -3.2233
Calculated volume, Å³ per atom: 16.1

a b c (Å): 6.9483 6.9483 6.9483
angles (deg): 37.72 37.72 37.72
With the nearest neighbours (Å) after each atom.
Fractional coordinates of all 7 atoms:
1 Li 0.2196 0.2196 0.2196  1 Ag 2.63, 4 Pd 2.68-2.72, 3 Cd 2.79
2 Li 0.7804 0.7804 0.7804  1 Ag 2.63, 4 Pd 2.68-2.72, 3 Cd 2.79
3 Cd 0.5000 0.5000 0.5000  6 Li 2.79, 2 Ag 2.79, 6 Pd 3.10
4 Ag 0.3558 0.3558 0.3558  1 Li 2.63, 3 Ag 2.74, 1 Cd 2.79, 3 Pd 2.81
5 Ag 0.6442 0.6442 0.6442  1 Li 2.63, 3 Ag 2.74, 1 Cd 2.79, 3 Pd 2.81
6 Pd 0.0790 0.0790 0.0790  4 Li 2.68-2.72, 3 Ag 2.81
7 Pd 0.9210 0.9210 0.9210  4 Li 2.68-2.72, 3 Ag 2.81

A geometry-optimized LiCd2AgPd structure. Source: Alexandria, functional PBE.

Output
Final energy, eV per atom: -2.6383
Calculated volume, Å³ per atom: 17.9

a b c (Å): 7.5105 7.5105 5.7838
angles (deg): 94.49 94.49 33.31
With the nearest neighbours (Å) after each atom.
Fractional coordinates of all 10 atoms:
1 Li 0.1014 0.1014 0.0451  5 Cd 2.80-2.99, 4 Ag 2.87-3.04, 1 Li 2.92, 2 Pd 3.02
2 Li 0.8986 0.8986 0.9549  5 Cd 2.80-2.99, 4 Ag 2.87-3.04, 1 Li 2.92, 2 Pd 3.02
3 Cd 0.1045 0.1045 0.5290  2 Li 2.80-2.99, 3 Pd 2.84-2.85, 3 Cd 3.00-3.07, 4 Ag 3.01-3.02
4 Cd 0.2997 0.2997 0.1582  4 Pd 2.82-2.93, 3 Li 2.88, 1 Ag 2.92, 4 Cd 3.07-3.10
5 Cd 0.7003 0.7003 0.8418  4 Pd 2.82-2.93, 3 Li 2.88, 1 Ag 2.92, 4 Cd 3.07-3.10
6 Cd 0.8955 0.8955 0.4710  2 Li 2.80-2.99, 3 Pd 2.84-2.85, 3 Cd 3.00-3.07, 4 Ag 3.01-3.02
7 Ag 0.4974 0.4974 0.7564  2 Ag 2.81-2.97, 1 Pd 2.86, 4 Li 2.87-3.04, 5 Cd 2.92-3.02
8 Ag 0.5026 0.5026 0.2436  2 Ag 2.81-2.97, 1 Pd 2.86, 4 Li 2.87-3.04, 5 Cd 2.92-3.02
9 Pd 0.2990 0.2990 0.6653  7 Cd 2.82-2.93, 1 Ag 2.86, 2 Li 3.02, 2 Pd 3.14
10 Pd 0.7010 0.7010 0.3347  7 Cd 2.82-2.93, 1 Ag 2.86, 2 Li 3.02, 2 Pd 3.14